DFT (PBE+U) results for crystalline Mg3MnF at its relaxed geometry.

Results
space-group type	Pm-3m, No. 221
total magnetic moment	5.34	μB per formula unit
density	1558	kg/m3
excess energy over the best structure of this formula in the dataset	1.38	eV/f.u.

Unit cell a=5.3894 b=5.3894 c=5.3894 alpha=90.00 beta=90.00 gamma=90.00
Each line ends with the local moment (μB).
Fractional positions:
Mg 0.0000 0.0000 0.5000  0.00
Mg 0.0000 0.5000 0.0000  0.00
Mg 0.5000 0.0000 0.0000  0.00
F 0.5000 0.5000 0.5000  0.05
Mn 0.0000 0.0000 0.0000  4.54